[1]
## MgSbSe3 (PBE-GGA)

Data for crystalline MgSbSe3 at its relaxed geometry.

Lattice parameters (Å, degrees): 6.610 4.610 10.765 90.00 100.14 90.00
Sites, in units of the cell vectors:
1 Mg 0.018 0.250 0.323
2 Mg 0.982 0.750 0.677
3 Sb 0.435 0.250 0.807
4 Sb 0.565 0.750 0.193
5 Se 0.162 0.250 0.597
6 Se 0.214 0.750 0.273
7 Se 0.298 0.750 0.887
8 Se 0.702 0.250 0.113
9 Se 0.786 0.250 0.727
10 Se 0.838 0.750 0.403

Calculated values
For the mass density, the calculation gives 3939 kg/m³. The value obtained for the density of states at the Fermi level is 2.2 states/eV/cell. The value obtained for the energy relative to the elements, uncorrected is -0.4576 eV per atom. For the distance to the lowest polymorph of the same formula, the calculation gives 0 meV/atom. The raw total energy is -3.69 eV/atom.

[2]
## MgSb2Se (PBE-GGA)

Data for crystalline MgSb2Se at its relaxed geometry.

Lattice parameters (Å, degrees): 8.693 8.693 8.693 155.39 154.89 35.45
Sites, in units of the cell vectors:
1 Mg 0.000 0.000 0.000
2 Sb 0.205 0.705 0.500
3 Sb 0.795 0.295 0.500
4 Se 0.500 0.500 0.000

Calculated values
For the mass density, the calculation gives 4965 kg/m³. The value obtained for the density of states at the Fermi level is 1.6 states/eV/cell. The value obtained for the energy relative to the elements, uncorrected is -0.2995 eV per atom. For the distance to the lowest polymorph of the same formula, the calculation gives 42 meV/atom. The raw total energy is -3.63 eV/atom.

[3]
## MgSnSbSe2 (PBE-GGA)

Data for crystalline MgSnSbSe2 at its relaxed geometry.

Lattice parameters (Å, degrees): 5.339 5.339 5.777 90.00 90.00 90.00
Sites, in units of the cell vectors:
1 Mg 0.000 0.000 0.000
2 Sn 0.500 0.500 0.000
3 Sb 0.500 0.500 0.500
4 Se 0.000 0.500 0.500
5 Se 0.500 0.000 0.500

Calculated values
For the mass density, the calculation gives 4262 kg/m³. The value obtained for the density of states at the Fermi level is 3.5 states/eV/cell. The value obtained for the energy relative to the elements, uncorrected is 0.3526 eV per atom. The raw total energy is -2.99 eV/atom.

[4]
## MgTcSb2Se (PBE-GGA)

Data for crystalline MgTcSb2Se at its relaxed geometry.

Lattice parameters (Å, degrees): 5.457 5.457 4.736 90.00 90.00 90.00
Sites, in units of the cell vectors:
1 Mg 0.000 0.000 0.000
2 Tc 0.500 0.500 0.000
3 Sb 0.000 0.500 0.500
4 Sb 0.500 0.000 0.500
5 Se 0.000 0.000 0.500

Calculated values
For the mass density, the calculation gives 5236 kg/m³. The value obtained for the density of states at the Fermi level is 3.8 states/eV/cell. The value obtained for the energy relative to the elements, uncorrected is 0.9668 eV per atom. The raw total energy is -3.77 eV/atom.

[5]
## MgSb2TeSe (PBE-GGA)

Data for crystalline MgSb2TeSe at its relaxed geometry.

Lattice parameters (Å, degrees): 5.430 5.430 5.484 90.00 90.00 90.00
Sites, in units of the cell vectors:
1 Mg 0.000 0.000 0.000
2 Sb 0.000 0.500 0.500
3 Sb 0.500 0.000 0.500
4 Te 0.500 0.500 0.000
5 Se 0.500 0.500 0.500

Calculated values
For the mass density, the calculation gives 4872 kg/m³. The value obtained for the density of states at the Fermi level is 5.7 states/eV/cell. The value obtained for the energy relative to the elements, uncorrected is 0.4832 eV per atom. For the distance to the lowest polymorph of the same formula, the calculation gives 0 meV/atom. The raw total energy is -2.81 eV/atom.

[6]
## MgSb2TeSe (PBE-GGA)

Data for crystalline MgSb2TeSe at its relaxed geometry.

Lattice parameters (Å, degrees): 5.433 5.433 5.219 90.00 90.00 90.00
Sites, in units of the cell vectors:
1 Mg 0.000 0.000 0.000
2 Sb 0.000 0.500 0.000
3 Sb 0.500 0.000 0.000
4 Te 0.000 0.000 0.500
5 Se 0.500 0.500 0.500

Calculated values
For the mass density, the calculation gives 5113 kg/m³. The value obtained for the density of states at the Fermi level is 5.5 states/eV/cell. The value obtained for the energy relative to the elements, uncorrected is 0.5839 eV per atom. For the distance to the lowest polymorph of the same formula, the calculation gives 101 meV/atom. The raw total energy is -2.71 eV/atom.

Which of these has the highest mass density?
MgTcSb2Se

What did the fourth record say?
## MgTcSb2Se (PBE-GGA)

Data for crystalline MgTcSb2Se at its relaxed geometry.

Lattice parameters (Å, degrees): 5.457 5.457 4.736 90.00 90.00 90.00
Sites, in units of the cell vectors:
1 Mg 0.000 0.000 0.000
2 Tc 0.500 0.500 0.000
3 Sb 0.000 0.500 0.500
4 Sb 0.500 0.000 0.500
5 Se 0.000 0.000 0.500

Calculated values
For the mass density, the calculation gives 5236 kg/m³. The value obtained for the density of states at the Fermi level is 3.8 states/eV/cell. The value obtained for the energy relative to the elements, uncorrected is 0.9668 eV per atom. The raw total energy is -3.77 eV/atom.

Among the records above, which one has the highest density of states at the Fermi level?
number 5